VASP calculation (PBE-GGA) on an optimized crystal structure of Sb2TeCl.

Summary:
Theoretical density ... 6.21 g/cm³
Uncorrected formation energy ... -86 meV/atom
Distance to the lowest polymorph of the same formula ... 0.0722 eV per atom

abc: 3.167 4.871 7.050
angles: 90.00 90.00 90.00
Space group Pmmm (No. 47)
One atom of each set of equivalent atoms:
Sb: 0.000 0.000 0.215
Te: 0.000 0.500 0.500
Cl: 0.500 0.500 0.000

VASP calculation (PBE-GGA) on an optimized crystal structure of NbPt3Rh3.

Summary:
ΔH_f (0 K) ... 0.299 eV/atom
Theoretical density ... 10.75 g/cm³
Distance to the lowest polymorph of the same formula ... 0.4311 eV per atom

abc: 11.4199 11.4199 2.7003
angles: 90.00 90.00 120.00
Space group P6_3/m (No. 176)
One atom of each set of equivalent atoms:
Nb: 0.3333 0.6667 0.2500
Pt: 0.1399 0.4101 0.2500
Rh: 0.0758 0.6118 0.2500

VASP calculation (PBE-GGA) on an optimized crystal structure of Ca2YHfAs4.

Summary:
ΔH_f (0 K) ... -1.186 eV/atom
Theoretical density ... 5.50 g/cm³

abc: 7.042 4.041 7.252
angles: 90.00 108.64 90.00
Space group P2/m (No. 10)
One atom of each set of equivalent atoms:
Ca: 0.000 0.000 0.000
Ca: 0.500 0.500 0.000
Y: 0.000 0.500 0.500
Hf: 0.500 0.000 0.500
As: 0.258 0.000 0.732
As: 0.270 0.500 0.274

VASP calculation (PBE-GGA) on an optimized crystal structure of Tb5ScBi4.

Summary:
ΔH_f (0 K) ... -0.465 eV/atom
Theoretical density ... 8.40 g/cm³

abc: 18.901 4.368 8.382
angles: 90.00 106.73 90.00
Space group C2/m (No. 12)
One atom of each set of equivalent atoms:
Tb: 0.000 0.000 0.000
Tb: 0.165 0.500 0.302
Tb: 0.182 0.500 0.849
Sc: 0.000 0.000 0.500
Bi: 0.010 0.500 0.749
Bi: 0.164 0.000 0.571

Please write out number 1 again, unchanged.
VASP calculation (PBE-GGA) on an optimized crystal structure of Sb2TeCl.

Summary:
Theoretical density ... 6.21 g/cm³
Uncorrected formation energy ... -86 meV/atom
Distance to the lowest polymorph of the same formula ... 0.0722 eV per atom

abc: 3.167 4.871 7.050
angles: 90.00 90.00 90.00
Space group Pmmm (No. 47)
One atom of each set of equivalent atoms:
Sb: 0.000 0.000 0.215
Te: 0.000 0.500 0.500
Cl: 0.500 0.500 0.000